[1]
Below is Mg2Si2Sb after structural relaxation, with properties calculated at the PBE-GGA level.

Lattice parameters (Å, degrees): 4.4956 4.4956 10.5933 90.00 90.00 90.00
Last column: nearest neighbours and their distance in Å.
Sites, in units of the cell vectors:
Mg 0.0000 0.5000 0.2500  4 Si 2.71
Mg 0.0000 0.5000 0.7500  4 Si 2.71
Mg 0.5000 0.0000 0.2500  4 Si 2.71
Mg 0.5000 0.0000 0.7500  4 Si 2.71
Si 0.0000 0.0000 0.1068  1 Si 2.26
Si 0.0000 0.0000 0.8932  1 Si 2.26
Si 0.5000 0.5000 0.3932  1 Si 2.26
Si 0.5000 0.5000 0.6068  1 Si 2.26
Sb 0.0000 0.0000 0.5000  8 Si 3.37, 8 Mg 3.47
Sb 0.5000 0.5000 0.0000  8 Si 3.37, 8 Mg 3.47

## Properties
V	214	Å³/cell
Fermi-level density of states	5.8	states/eV per cell
uncorrected formation energy	155	meV per atom
polymorph energy (0 for the lowest one)	21	meV/atom

[2]
Below is Sr2GaCuSi after structural relaxation, with properties calculated at the PBE-GGA level.

Lattice parameters (Å, degrees): 5.8602 5.8602 4.3258 90.00 90.00 90.00
Last column: nearest neighbours and their distance in Å.
Sites, in units of the cell vectors:
Sr 0.0000 0.5000 0.0000  2 Cu 2.93
Sr 0.5000 0.0000 0.0000  2 Cu 2.93
Ga 0.0000 0.0000 0.5000  8 Sr 3.64
Cu 0.5000 0.5000 0.0000  2 Si 2.16
Si 0.5000 0.5000 0.5000  2 Cu 2.16

## Properties
V	149	Å³/cell
Fermi-level density of states	2.7	states/eV per cell
uncorrected formation energy	-86	meV per atom

[3]
Below is La2ZnAs3Ir4 after structural relaxation, with properties calculated at the PBE-GGA level.

Lattice parameters (Å, degrees): 4.2485 4.2485 10.4370 90.00 90.00 90.00
Last column: nearest neighbours and their distance in Å.
Sites, in units of the cell vectors:
La 0.0000 0.5000 0.2451  8 Ir 3.23-3.40, 6 As 3.25-3.33, 2 Zn 3.33
La 0.5000 0.0000 0.7549  8 Ir 3.23-3.40, 6 As 3.25-3.33, 2 Zn 3.33
Zn 0.5000 0.5000 0.0000  4 Ir 2.53
As 0.0000 0.0000 0.0000  4 Ir 2.53
As 0.0000 0.5000 0.6358  5 Ir 2.43-2.55
As 0.5000 0.0000 0.3642  5 Ir 2.43-2.55
Ir 0.0000 0.0000 0.5000  4 As 2.55
Ir 0.0000 0.5000 0.8683  3 As 2.43-2.53, 2 Zn 2.53
Ir 0.5000 0.0000 0.1317  3 As 2.43-2.53, 2 Zn 2.53
Ir 0.5000 0.5000 0.5000  4 As 2.55

## Properties
V	188	Å³/cell
Fermi-level density of states	4.4	states/eV per cell
total DFT energy (no corrections)	-68.01	eV/cell